First-principles (PBE+U) data for a relaxed structure of RbCoMoF6, as listed in Alexandria.

```
data_RbCoMoF6
_chemical_formula_sum 'Rb4 Co4 Mo4 F24'
_symmetry_space_group_name_H-M 'I m m a'
_symmetry_Int_Tables_number 74
_symmetry_space_group_name_Hall '-I 2b 2'
_cell_length_a 7.525
_cell_length_b 7.718
_cell_length_c 10.920
_cell_angle_alpha 90.00
_cell_angle_beta 90.00
_cell_angle_gamma 90.00
loop_
_atom_site_label
_atom_site_type_symbol
_atom_site_fract_x
_atom_site_fract_y
_atom_site_fract_z
Rb1 Rb 0.000 0.250 0.077
Co1 Co 0.250 0.250 0.750
Mo1 Mo 0.000 0.000 0.500
F1 F 0.000 0.250 0.419
F2 F 0.000 0.250 0.808
F3 F 0.210 0.059 0.618
```

Values from the calculation:
**VASP energy**: -187.87 eV per cell
**Volume**: 17.62 Å³ per atom